1.
# YP4Rh PBE optimized geometry
# - volume (Å³ per cell) = 203
# - magnetization (Bohr magnetons per cell) = 0.000
# - E (eV/f.u.) = -38.53
data_YP4Rh
_symmetry_space_group_name_H-M 'P m m a'
_symmetry_Int_Tables_number 51
_cell_length_a 6.593
_cell_length_b 3.789
_cell_length_c 8.145
_cell_angle_alpha 90.00
_cell_angle_beta 90.00
_cell_angle_gamma 90.00
loop_
_symmetry_equiv_pos_as_xyz
'x,y,z'
'-x,-y,-z'
'-x+1/2,-y,z'
'x+1/2,y,-z'
'x+1/2,-y,-z'
'-x+1/2,y,z'
'-x,y,-z'
'x,-y,z'
loop_
_atom_site_label
_atom_site_type_symbol
_atom_site_fract_x
_atom_site_fract_y
_atom_site_fract_z
_atom_site_occupancy
Y1 Y 0.250 0.000 0.197 1
P1 P 0.000 0.000 0.500 1
P2 P 0.051 0.500 0.873 1
P3 P 0.250 0.500 0.480 1
Rh1 Rh 0.250 0.000 0.808 1

=====

2.
# CaTb2Ce3As6 PBE optimized geometry
# - volume (Å³ per cell) = 627
# - magnetization (Bohr magnetons per cell) = 3.434
# - E (eV/f.u.) = -74.04
data_CaTb2Ce3As6
_symmetry_space_group_name_H-M 'C 1 2/m 1'
_symmetry_Int_Tables_number 12
_cell_length_a 7.293
_cell_length_b 12.626
_cell_length_c 7.235
_cell_angle_alpha 90.00
_cell_angle_beta 109.62
_cell_angle_gamma 90.00
loop_
_symmetry_equiv_pos_as_xyz
'x,y,z'
'-x,-y,-z'
'-x,y,-z'
'x,-y,z'
'x+1/2,y+1/2,z'
'-x+1/2,-y+1/2,-z'
'-x+1/2,y+1/2,-z'
'x+1/2,-y+1/2,z'
loop_
_atom_site_label
_atom_site_type_symbol
_atom_site_fract_x
_atom_site_fract_y
_atom_site_fract_z
_atom_site_occupancy
Ca1 Ca 0.000 0.000 0.000 1
Tb1 Tb 0.000 0.333 0.000 1
Ce1 Ce 0.000 0.165 0.500 1
Ce2 Ce 0.000 0.500 0.500 1
As1 As 0.244 0.500 0.251 1
As2 As 0.247 0.331 0.748 1

=====

3.
# TcSn2HPb PBE optimized geometry
# - volume (Å³ per cell) = 107
# - magnetization (Bohr magnetons per cell) = 0.000
# - E (eV/f.u.) = -23.38
data_TcSn2HPb
_symmetry_space_group_name_H-M 'P 4/m m m'
_symmetry_Int_Tables_number 123
_symmetry_space_group_name_Hall '-P 4 2'
_cell_length_a 5.339
_cell_length_b 5.339
_cell_length_c 3.749
_cell_angle_alpha 90.00
_cell_angle_beta 90.00
_cell_angle_gamma 90.00
loop_
_atom_site_label
_atom_site_type_symbol
_atom_site_fract_x
_atom_site_fract_y
_atom_site_fract_z
_atom_site_occupancy
Tc1 Tc 0.000 0.000 0.000 1
Sn1 Sn 0.000 0.500 0.000 1
H1 H 0.000 0.000 0.500 1
Pb1 Pb 0.500 0.500 0.500 1

=====

4.
# Li4ErCd PBE optimized geometry
# - volume (Å³ per cell) = 466
# - magnetization (Bohr magnetons per cell) = 0.000
# - E (eV/f.u.) = -13.44
data_Li4ErCd
_symmetry_space_group_name_H-M 'F -4 3 m'
_symmetry_Int_Tables_number 216
_symmetry_space_group_name_Hall 'F -4 2 3'
_cell_length_a 7.755
_cell_length_b 7.755
_cell_length_c 7.755
_cell_angle_alpha 90.00
_cell_angle_beta 90.00
_cell_angle_gamma 90.00
loop_
_atom_site_label
_atom_site_type_symbol
_atom_site_fract_x
_atom_site_fract_y
_atom_site_fract_z
_atom_site_occupancy
Li1 Li 0.123 0.123 0.377 1
Er1 Er 0.000 0.000 0.000 1
Cd1 Cd 0.250 0.250 0.750 1

=====

5.
# BSbS2Br PBE optimized geometry
# - volume (Å³ per cell) = 107
# - magnetization (Bohr magnetons per cell) = 0.000
# - formation energy from raw total energies (eV/f.u.) = 7.22
data_BSbS2Br
_symmetry_space_group_name_H-M 'P 4/m m m'
_symmetry_Int_Tables_number 123
_symmetry_space_group_name_Hall '-P 4 2'
_cell_length_a 4.992
_cell_length_b 4.992
_cell_length_c 4.312
_cell_angle_alpha 90.00
_cell_angle_beta 90.00
_cell_angle_gamma 90.00
loop_
_atom_site_label
_atom_site_type_symbol
_atom_site_fract_x
_atom_site_fract_y
_atom_site_fract_z
_atom_site_occupancy
B1 B 0.000 0.000 0.000 1
Sb1 Sb 0.500 0.500 0.000 1
S1 S 0.000 0.500 0.500 1
Br1 Br 0.000 0.000 0.500 1

=====

6.
# Ba2SbAs PBE optimized geometry
# - volume (Å³ per cell) = 282
# - magnetization (Bohr magnetons per cell) = 0.000
# - formation energy from raw total energies (eV/f.u.) = -2.94
data_Ba2SbAs
_symmetry_space_group_name_H-M 'I m m 2'
_symmetry_Int_Tables_number 44
_cell_length_a 4.444
_cell_length_b 5.172
_cell_length_c 12.257
_cell_angle_alpha 90.00
_cell_angle_beta 90.00
_cell_angle_gamma 90.00
loop_
_symmetry_equiv_pos_as_xyz
'x,y,z'
'-x,-y,z'
'-x,y,z'
'x,-y,z'
'x+1/2,y+1/2,z+1/2'
'-x+1/2,-y+1/2,z+1/2'
'-x+1/2,y+1/2,z+1/2'
'x+1/2,-y+1/2,z+1/2'
loop_
_atom_site_label
_atom_site_type_symbol
_atom_site_fract_x
_atom_site_fract_y
_atom_site_fract_z
_atom_site_occupancy
Ba1 Ba 0.000 0.000 0.000 1
Ba2 Ba 0.000 0.500 0.233 1
Sb1 Sb 0.000 0.500 0.786 1
As1 As 0.000 0.000 0.475 1